The following is a PBE-GGA calculation of TbHoEr2P4 after structural relaxation, from Alexandria via LeMat-Bulk.

a b c (Å): 6.9056 3.9895 6.9068
angles (deg): 90.00 109.47 90.00
Positions (direct):
Tb1 0.0000 0.0000 0.0000
Ho1 0.0000 0.5000 0.5000
Er1 0.5000 0.0000 0.5000
Er2 0.5000 0.5000 0.0000
P1 0.2520 0.0000 0.7495
P2 0.2529 0.5000 0.2521
P3 0.7471 0.5000 0.7479
P4 0.7480 0.0000 0.2505

Computed properties:
**Energy**: -6.61 eV/atom



The following is a PBE-GGA calculation of HoEr3Th2P6 after structural relaxation, from Alexandria via LeMat-Bulk.

a b c (Å): 9.0134 9.0134 8.0503
angles (deg): 102.75 102.75 25.93
Positions (direct):
Ho1 0.0000 0.0000 0.0000
Er1 0.0000 0.0000 0.5000
Er2 0.3340 0.3340 0.1660
Er3 0.6660 0.6660 0.8340
Th1 0.3353 0.3353 0.6703
Th2 0.6647 0.6647 0.3297
P1 0.1647 0.1647 0.5885
P2 0.1666 0.1666 0.0760
P3 0.4976 0.4976 0.2495
P4 0.5024 0.5024 0.7505
P5 0.8334 0.8334 0.9240
P6 0.8353 0.8353 0.4115

Computed properties:
**Energy**: -7.06 eV/atom



The following is a PBE-GGA calculation of HoEr2TmP4 after structural relaxation, from Alexandria via LeMat-Bulk.

a b c (Å): 6.8711 3.9693 6.8719
angles (deg): 90.00 109.47 90.00
Positions (direct):
Ho1 0.0000 0.0000 0.0000
Er1 0.5000 0.0000 0.5000
Er2 0.5000 0.5000 0.0000
Tm1 0.0000 0.5000 0.5000
P1 0.2495 0.0000 0.7487
P2 0.2504 0.5000 0.2512
P3 0.7496 0.5000 0.7488
P4 0.7505 0.0000 0.2513

Computed properties:
**Energy**: -6.59 eV/atom



The following is a PBE-GGA calculation of HoEr2UP4 after structural relaxation, from Alexandria via LeMat-Bulk.

a b c (Å): 6.8525 3.9494 6.8560
angles (deg): 90.00 109.24 90.00
Positions (direct):
Ho1 0.0000 0.0000 0.0000
Er1 0.5000 0.0000 0.5000
Er2 0.5000 0.5000 0.0000
U1 0.0000 0.5000 0.5000
P1 0.2476 0.0000 0.7468
P2 0.2475 0.5000 0.2541
P3 0.7524 0.0000 0.2532
P4 0.7525 0.5000 0.7459

Computed properties:
**Energy**: -7.28 eV/atom



The following is a PBE-GGA calculation of Ho2ErUP4 after structural relaxation, from Alexandria via LeMat-Bulk.

a b c (Å): 6.8603 3.9529 6.8637
angles (deg): 90.00 109.25 90.00
Positions (direct):
Ho1 0.0000 0.0000 0.0000
Ho2 0.5000 0.5000 0.0000
Er1 0.0000 0.5000 0.5000
U1 0.5000 0.0000 0.5000
P1 0.2529 0.0000 0.7454
P2 0.2533 0.5000 0.2542
P3 0.7471 0.0000 0.2546
P4 0.7467 0.5000 0.7458

Computed properties:
**Energy**: -7.28 eV/atom



The following is a PBE-GGA calculation of YHo2ErP4 after structural relaxation, from Alexandria via LeMat-Bulk.

a b c (Å): 6.9080 3.9903 6.9087
angles (deg): 90.00 109.47 90.00
Positions (direct):
Y1 0.0000 0.0000 0.0000
Ho1 0.5000 0.0000 0.5000
Ho2 0.5000 0.5000 0.0000
Er1 0.0000 0.5000 0.5000
P1 0.2499 0.0000 0.7486
P2 0.2508 0.5000 0.2517
P3 0.7492 0.5000 0.7483
P4 0.7501 0.0000 0.2514

Computed properties:
**Energy**: -6.85 eV/atom